# 1
# NdZn6Cd6

A relaxed NdZn6Cd6 crystal (PBE, Alexandria via LeMat-Bulk).

Properties
Formation energy, eV/atom: -0.14

a b c (Å): 5.6029 9.3850 9.5336
angles (deg): 90.00 90.00 90.00
With the nearest neighbours (Å) after each atom.
Space group Immm (No. 71)
Unique sites:
1 Nd 0.0000 0.0000 0.0000  8 Cd 3.26-3.38, 12 Zn 3.53-3.63
2 Zn 0.0000 0.5000 0.2746  4 Zn 2.74, 6 Cd 2.86-3.03
3 Zn 0.2500 0.2500 0.2500  4 Zn 2.74-2.80, 6 Cd 2.80-2.91
4 Cd 0.0000 0.0000 0.3460  6 Zn 2.88-3.03, 3 Cd 2.94-3.17
5 Cd 0.0000 0.2993 0.5000  6 Zn 2.80-2.86, 2 Cd 3.12
6 Cd 0.0000 0.3476 0.0000  3 Cd 2.86-3.12, 6 Zn 2.91-2.98

***

# 2
# Li3Tm2BiS6

A relaxed Li3Tm2BiS6 crystal (PBE, Alexandria via LeMat-Bulk).

Properties
ΔE_f (raw), eV/atom: -1.4838

a b c (Å): 6.7694 11.7285 6.6047
angles (deg): 90.00 110.04 90.00
With the nearest neighbours (Å) after each atom.
Space group C2/m (No. 12)
Unique sites:
1 Li 0.0000 0.0000 0.0000  6 S 2.67-2.76
2 Li 0.0000 0.3372 0.0000  6 S 2.70-2.77
3 Tm 0.0000 0.1671 0.5000  6 S 2.71-2.72
4 Bi 0.0000 0.5000 0.5000  6 S 2.80-2.81
5 S 0.2399 0.0000 0.7529  3 Li 2.67-2.73, 2 Tm 2.72, 1 Bi 2.81
6 S 0.2438 0.1722 0.2488  3 Li 2.70-2.77, 2 Tm 2.71, 1 Bi 2.80

***

# 3
# H2PbCl6

A relaxed H2PbCl6 crystal (PBE, Alexandria via LeMat-Bulk).

Properties
DFT total energy, eV/atom: -2.936

a b c (Å): 13.9985 12.3761 6.4085
angles (deg): 90.00 96.50 90.00
With the nearest neighbours (Å) after each atom.
Space group C2/c (No. 15)
Unique sites:
1 H 0.1278 0.0226 0.2715  1 Cl 1.30
2 Pb 0.0000 0.3983 0.7500  6 Cl 2.44-2.72
3 Cl 0.1039 0.4350 0.1134  2 Pb 2.64-2.72
4 Cl 0.1176 0.2722 0.6339  1 Pb 2.44
5 Cl 0.1308 0.0822 0.1056  1 H 1.30

***

# 4
# Ba2SiBr

A relaxed Ba2SiBr crystal (PBE, Alexandria via LeMat-Bulk).

Properties
Polymorph energy (0 for the lowest one), eV/f.u.: 0.61
ΔE_f (raw), eV/atom: -0.7850

a b c (Å): 8.2217 8.2217 8.2217
angles (deg): 90.00 90.00 90.00
With the nearest neighbours (Å) after each atom.
Space group Fm-3m (No. 225)
Unique sites:
1 Ba 0.2500 0.2500 0.2500  4 Br 3.56, 4 Si 3.56
2 Si 0.0000 0.0000 0.0000  8 Ba 3.56
3 Br 0.0000 0.0000 0.5000  8 Ba 3.56

***

# 5
# Sm2Dy6Tm3Tl

A relaxed Sm2Dy6Tm3Tl crystal (PBE, Alexandria via LeMat-Bulk).

Properties
Formation energy, eV/atom: -0.02

a b c (Å): 6.0698 10.5215 11.6644
angles (deg): 90.00 100.03 90.00
With the nearest neighbours (Å) after each atom.
Space group C2/m (No. 12)
Unique sites:
1 Sm 0.0000 0.1660 0.0000  3 Sm 3.49-3.51, 3 Tl 3.50-3.51, 6 Dy 3.54
2 Dy 0.2451 0.5000 0.7475  6 Dy 3.46-3.53, 3 Tm 3.48-3.51, 1 Tl 3.52, 2 Sm 3.54
3 Dy 0.2478 0.3356 0.2514  6 Dy 3.46-3.53, 3 Tm 3.49-3.52, 1 Tl 3.51, 2 Sm 3.54
4 Tm 0.0000 0.0000 0.5000  6 Dy 3.49-3.51, 6 Tm 3.51
5 Tm 0.0000 0.3333 0.5000  6 Dy 3.48-3.52, 6 Tm 3.51
6 Tl 0.0000 0.5000 0.0000  6 Sm 3.50-3.51, 6 Dy 3.51-3.52

***

# 6
# SrSiAu2F

A relaxed SrSiAu2F crystal (PBE, Alexandria via LeMat-Bulk).

Properties
ΔE_f (raw), eV/atom: -0.8038

a b c (Å): 4.6286 4.6286 6.3564
angles (deg): 90.00 90.00 90.00
With the nearest neighbours (Å) after each atom.
Space group P4/mmm (No. 123)
Unique sites:
1 Sr 0.0000 0.0000 0.0000  2 Si 3.18, 4 F 3.27
2 Si 0.0000 0.0000 0.5000  4 Au 2.31
3 Au 0.0000 0.5000 0.5000  2 Si 2.31
4 F 0.5000 0.5000 0.0000  4 Sr 3.27